No. 1
Here is a geometry-optimized CsAg structure from the Alexandria database. Energies are from PBE.

Results
Calculated formation energy in eV per atom: 0.109
Total magnetization in μB per cell: 0.0
Energy in eV/atom: -1.743

a = 7.5013 Å, b = 7.5013 Å, c = 7.4583 Å
α = 90.00°, β = 90.00°, γ = 90.00°
Closest atoms and distances in Å follow each position.
Fractional coordinates of all 8 atoms:
Cs  0.1891  0.1891  0.0000  4 Ag 3.63-3.76, 1 Cs 4.01
Cs  0.3109  0.6891  0.5000  4 Ag 3.63-3.76, 1 Cs 4.01
Cs  0.6891  0.3109  0.5000  4 Ag 3.63-3.76, 1 Cs 4.01
Cs  0.8109  0.8109  0.0000  4 Ag 3.63-3.76, 1 Cs 4.01
Ag  0.1422  0.1422  0.5000  1 Ag 3.02
Ag  0.3578  0.6422  0.0000  1 Ag 3.02
Ag  0.6422  0.3578  0.0000  1 Ag 3.02
Ag  0.8578  0.8578  0.5000  1 Ag 3.02

***

No. 2
Here is a geometry-optimized Cs4Ag structure from the Alexandria database. Energies are from PBE.

Results
Energy above the lowest structure with this stoichiometry in meV/atom: 8
Calculated formation energy in eV per atom: 0.040
Total magnetization in μB per cell: 0.0
Energy in eV/atom: -1.213

a = 7.6461 Å, b = 7.6461 Å, c = 7.6461 Å
α = 90.00°, β = 90.00°, γ = 90.00°
Closest atoms and distances in Å follow each position.
Fractional coordinates of all 5 atoms:
Cs  0.0000  0.0000  0.0000  12 Cs 5.41
Cs  0.0000  0.5000  0.5000  2 Ag 3.82
Cs  0.5000  0.0000  0.5000  2 Ag 3.82
Cs  0.5000  0.5000  0.0000  2 Ag 3.82
Ag  0.5000  0.5000  0.5000  6 Cs 3.82